No. 1
First-principles (SCAN) data for a crystal of LaMgTc2Te relaxed with PBEsol, as listed in the Alexandria database.

Cell and atoms, written as CIF:
```
data_LaMgTc2Te
_chemical_formula_sum 'La1 Mg1 Tc2 Te1'
_cell_length_a 4.727
_cell_length_b 4.727
_cell_length_c 5.170
_cell_angle_alpha 90.00
_cell_angle_beta 90.00
_cell_angle_gamma 90.00
_symmetry_space_group_name_H-M 'P 1'
_symmetry_Int_Tables_number 1
loop_
_symmetry_equiv_pos_as_xyz
'x,y,z'
loop_
_atom_site_label
_atom_site_fract_x
_atom_site_fract_y
_atom_site_fract_z
La1 0.500 0.500 0.500
Tc1 0.500 0.000 0.000
Tc2 0.000 0.500 0.000
Mg1 0.000 0.000 0.000
Te1 0.000 0.000 0.500
```

Properties
Its symmetry is P4/mmm, No. 123. The uncorrected formation energy is 0.936 eV per atom.

No. 2
First-principles (SCAN) data for a crystal of LaMg2TcW relaxed with PBEsol, as listed in the Alexandria database.

Cell and atoms, written as CIF:
```
data_LaMg2TcW
_chemical_formula_sum 'La1 Mg2 Tc1 W1'
_cell_length_a 4.536
_cell_length_b 5.271
_cell_length_c 5.271
_cell_angle_alpha 90.00
_cell_angle_beta 90.00
_cell_angle_gamma 90.00
_symmetry_space_group_name_H-M 'P 1'
_symmetry_Int_Tables_number 1
loop_
_symmetry_equiv_pos_as_xyz
'x,y,z'
loop_
_atom_site_label
_atom_site_fract_x
_atom_site_fract_y
_atom_site_fract_z
W1 0.500 0.500 0.500
La1 0.000 0.000 0.000
Mg1 0.000 0.000 0.500
Mg2 0.000 0.500 0.000
Tc1 0.500 0.000 0.000
```

Properties
Its symmetry is P4/mmm, No. 123. The value obtained for the total energy is -146.3 eV for the cell shown.

No. 3
First-principles (SCAN) data for a crystal of La3MgTe relaxed with PBEsol, as listed in the Alexandria database.

Cell and atoms, written as CIF:
```
data_La3MgTe
_chemical_formula_sum 'La3 Mg1 Te1'
_cell_length_a 5.925
_cell_length_b 5.925
_cell_length_c 5.925
_cell_angle_alpha 90.00
_cell_angle_beta 90.00
_cell_angle_gamma 90.00
_symmetry_space_group_name_H-M 'P 1'
_symmetry_Int_Tables_number 1
loop_
_symmetry_equiv_pos_as_xyz
'x,y,z'
loop_
_atom_site_label
_atom_site_fract_x
_atom_site_fract_y
_atom_site_fract_z
La1 0.000 0.500 0.000
La2 0.500 0.000 0.000
La3 0.000 0.000 0.500
Mg1 0.500 0.500 0.500
Te1 0.000 0.000 0.000
```

Properties
Its symmetry is Pm-3m, No. 221. The uncorrected formation energy is -0.288 eV per atom.

No. 4
First-principles (SCAN) data for a crystal of LaMgTe relaxed with PBEsol, as listed in the Alexandria database.

Cell and atoms, written as CIF:
```
data_LaMgTe
_chemical_formula_sum 'La1 Mg1 Te1'
_cell_length_a 5.194
_cell_length_b 5.194
_cell_length_c 5.194
_cell_angle_alpha 60.00
_cell_angle_beta 60.00
_cell_angle_gamma 60.00
_symmetry_space_group_name_H-M 'P 1'
_symmetry_Int_Tables_number 1
loop_
_symmetry_equiv_pos_as_xyz
'x,y,z'
loop_
_atom_site_label
_atom_site_fract_x
_atom_site_fract_y
_atom_site_fract_z
La1 0.000 0.000 0.000
Te1 0.750 0.750 0.750
Mg1 0.500 0.500 0.500
```

Properties
Its symmetry is F-43m, No. 216. The uncorrected formation energy is -0.499 eV per atom.

No. 5
First-principles (SCAN) data for a crystal of La2MgTe relaxed with PBEsol, as listed in the Alexandria database.

Cell and atoms, written as CIF:
```
data_La2MgTe
_chemical_formula_sum 'La2 Mg1 Te1'
_cell_length_a 5.044
_cell_length_b 5.784
_cell_length_c 5.044
_cell_angle_alpha 115.85
_cell_angle_beta 90.00
_cell_angle_gamma 115.85
_symmetry_space_group_name_H-M 'P 1'
_symmetry_Int_Tables_number 1
loop_
_symmetry_equiv_pos_as_xyz
'x,y,z'
loop_
_atom_site_label
_atom_site_fract_x
_atom_site_fract_y
_atom_site_fract_z
Te1 0.000 0.000 0.000
Mg1 0.500 0.000 0.500
La1 0.750 0.500 0.250
La2 0.250 0.500 0.750
```

Properties
Its symmetry is I4/mmm, No. 139. For the energy relative to the lowest polymorph listed for this composition, the calculation gives 78.7 meV per atom. The uncorrected formation energy is -0.661 eV per atom.

No. 6
First-principles (SCAN) data for a crystal of LaMgTe4 relaxed with PBEsol, as listed in the Alexandria database.

Cell and atoms, written as CIF:
```
data_LaMgTe4
_chemical_formula_sum 'La1 Mg1 Te4'
_cell_length_a 6.320
_cell_length_b 6.320
_cell_length_c 6.320
_cell_angle_alpha 60.00
_cell_angle_beta 60.00
_cell_angle_gamma 60.00
_symmetry_space_group_name_H-M 'P 1'
_symmetry_Int_Tables_number 1
loop_
_symmetry_equiv_pos_as_xyz
'x,y,z'
loop_
_atom_site_label
_atom_site_fract_x
_atom_site_fract_y
_atom_site_fract_z
Te1 0.375 0.375 0.875
Te2 0.375 0.375 0.375
Te3 0.375 0.875 0.375
Te4 0.875 0.375 0.375
La1 0.750 0.750 0.750
Mg1 0.000 0.000 0.000
```

Properties
Its symmetry is F-43m, No. 216. The uncorrected formation energy is -0.164 eV per atom.